No. 1
# K2Sn4Pt

A geometry-optimized K2Sn4Pt structure (PBE, Alexandria via LeMat-Bulk).

Calculated values
Energy of formation from the pure elements: 0.01 eV/atom
N(E_F): 7.1 states/eV/f.u.
DFT total energy: -3.45 eV/atom
Crystal system: tetragonal
Calculated volume: 37.146 A^3/atom
Magnetization: 0.00 μB per atom

Geometry as POSCAR:
```
K2Sn4Pt
1.0
-2.6182 2.6182 9.4831
2.6182 -2.6182 9.4831
2.6182 2.6182 -9.4831
K Sn Pt
2 4 1
Direct
0.1657 0.1657 0.0000 K
0.8343 0.8343 0.0000 K
0.0000 0.5000 0.5000 Sn
0.3571 0.3571 0.0000 Sn
0.5000 0.0000 0.5000 Sn
0.6429 0.6429 0.0000 Sn
0.5000 0.5000 0.0000 Pt
```



No. 2
# Ni4As

A geometry-optimized Ni4As structure (PBE, Alexandria via LeMat-Bulk).

Calculated values
Energy of formation from the pure elements: 0.70 eV/atom
N(E_F): 11.3 states/eV/f.u.
DFT total energy: -4.86 eV/atom
Crystal system: cubic
Calculated volume: 15.632 A^3/atom
Magnetization: 0.24 μB per atom

Geometry as POSCAR:
```
Ni4As
1.0
4.2756 0.0000 0.0000
0.0000 4.2756 0.0000
0.0000 0.0000 4.2756
Ni As
4 1
Direct
0.0000 0.0000 0.0000 Ni
0.0000 0.5000 0.5000 Ni
0.5000 0.0000 0.5000 Ni
0.5000 0.5000 0.0000 Ni
0.5000 0.5000 0.5000 As
```



No. 3
# La2Pr4SmMg

A geometry-optimized La2Pr4SmMg structure (PBE, Alexandria via LeMat-Bulk).

Calculated values
Energy of formation from the pure elements: 0.07 eV/atom
N(E_F): 13.9 states/eV/f.u.
DFT total energy: -4.34 eV/atom
Crystal system: orthorhombic
Calculated volume: 34.297 A^3/atom
Magnetization: 0.00 μB per atom

Geometry as POSCAR:
```
La2Pr4SmMg
1.0
5.9747 0.0000 0.0000
0.0000 5.9849 0.0000
0.0000 0.0000 7.6732
La Pr Sm Mg
2 4 1 1
Direct
0.0000 0.0000 0.0000 La
0.5000 0.5000 0.5000 La
0.0000 0.5000 0.2327 Pr
0.0000 0.5000 0.7673 Pr
0.5000 0.0000 0.2327 Pr
0.5000 0.0000 0.7673 Pr
0.0000 0.0000 0.5000 Sm
0.5000 0.5000 0.0000 Mg
```



No. 4
# HgTeAu4

A geometry-optimized HgTeAu4 structure (PBE, Alexandria via LeMat-Bulk).

Calculated values
Uncorrected formation energy: 0.115 eV/atom
N(E_F): 2.9 states/eV/f.u.
DFT total energy: -2.64 eV/atom
Crystal system: cubic
Calculated volume: 21.214 A^3/atom
Magnetization: 0.00 μB per atom

Geometry as POSCAR:
```
HgTeAu4
1.0
0.0000 3.9925 3.9925
3.9925 0.0000 3.9925
3.9925 3.9925 0.0000
Hg Te Au
1 1 4
Direct
0.0000 0.0000 0.0000 Hg
0.7500 0.7500 0.7500 Te
0.3748 0.3748 0.3748 Au
0.3748 0.3748 0.8757 Au
0.3748 0.8757 0.3748 Au
0.8757 0.3748 0.3748 Au
```



No. 5
# Cs12Au6Se

A geometry-optimized Cs12Au6Se structure (PBE, Alexandria via LeMat-Bulk).

Calculated values
Uncorrected formation energy: -0.358 eV/atom
N(E_F): 13.6 states/eV/f.u.
DFT total energy: -2.12 eV/atom
Crystal system: trigonal
Calculated volume: 58.600 A^3/atom
Magnetization: 0.00 μB per atom

Geometry as POSCAR:
```
Cs12Au6Se
1.0
8.1073 4.6807 4.8900
-8.1073 4.6807 4.8900
0.0000 -9.3614 4.8900
Cs Au Se
12 6 1
Direct
0.0448 0.9358 0.6810 Cs
0.0642 0.3190 0.9552 Cs
0.1801 0.5768 0.4249 Cs
0.3190 0.9552 0.0642 Cs
0.4232 0.5751 0.8199 Cs
0.4249 0.1801 0.5768 Cs
0.5751 0.8199 0.4232 Cs
0.5768 0.4249 0.1801 Cs
0.6810 0.0448 0.9358 Cs
0.8199 0.4232 0.5751 Cs
0.9358 0.6810 0.0448 Cs
0.9552 0.0642 0.3190 Cs
0.1302 0.3056 0.6239 Au
0.3056 0.6239 0.1302 Au
0.3761 0.8698 0.6944 Au
0.6239 0.1302 0.3056 Au
0.6944 0.3761 0.8698 Au
0.8698 0.6944 0.3761 Au
0.0000 0.0000 0.0000 Se
```



No. 6
# Ce3P2Rh9

A geometry-optimized Ce3P2Rh9 structure (PBE, Alexandria via LeMat-Bulk).

Calculated values
Energy of formation from the pure elements: -0.79 eV/atom
N(E_F): 9.1 states/eV/f.u.
DFT total energy: -7.56 eV/atom
Crystal system: hexagonal
Calculated volume: 16.974 A^3/atom
Magnetization: 0.04 μB per atom

Geometry as POSCAR:
```
Ce3P2Rh9
1.0
6.1892 0.0000 0.0000
-3.0946 5.3600 0.0000
0.0000 0.0000 14.3267
Ce P Rh
6 4 18
Direct
0.0000 0.0000 0.2500 Ce
0.0000 0.0000 0.7500 Ce
0.3333 0.6667 0.0735 Ce
0.3333 0.6667 0.4265 Ce
0.6667 0.3333 0.5735 Ce
0.6667 0.3333 0.9265 Ce
0.3333 0.6667 0.6518 P
0.3333 0.6667 0.8482 P
0.6667 0.3333 0.1518 P
0.6667 0.3333 0.3482 P
0.0173 0.5086 0.2500 Rh
0.1488 0.2976 0.5810 Rh
0.1488 0.2976 0.9190 Rh
0.1488 0.8512 0.5810 Rh
0.1488 0.8512 0.9190 Rh
0.2976 0.1488 0.0810 Rh
0.2976 0.1488 0.4190 Rh
0.4914 0.5086 0.2500 Rh
0.4914 0.9827 0.2500 Rh
0.5086 0.0173 0.7500 Rh
0.5086 0.4914 0.7500 Rh
0.7024 0.8512 0.5810 Rh
0.7024 0.8512 0.9190 Rh
0.8512 0.1488 0.0810 Rh
0.8512 0.1488 0.4190 Rh
0.8512 0.7024 0.0810 Rh
0.8512 0.7024 0.4190 Rh
0.9827 0.4914 0.7500 Rh
```



No. 7
# MgZnCdRu

A geometry-optimized MgZnCdRu structure (PBE, Alexandria via LeMat-Bulk).

Calculated values
Energy of formation from the pure elements: 0.06 eV/atom
N(E_F): 2.7 states/eV/f.u.
DFT total energy: -3.21 eV/atom
Crystal system: cubic
Calculated volume: 16.275 A^3/atom
Magnetization: 0.00 μB per atom

Geometry as POSCAR:
```
MgZnCdRu
1.0
0.0000 3.1929 3.1929
3.1929 0.0000 3.1929
3.1929 3.1929 0.0000
Mg Zn Cd Ru
1 1 1 1
Direct
0.0000 0.0000 0.0000 Mg
0.5000 0.5000 0.5000 Zn
0.7500 0.7500 0.7500 Cd
0.2500 0.2500 0.2500 Ru
```



No. 8
# TcBr

A geometry-optimized TcBr structure (PBE, Alexandria via LeMat-Bulk).

Calculated values
Uncorrected formation energy: 0.426 eV/atom
N(E_F): 1.2 states/eV/f.u.
DFT total energy: -5.59 eV/atom
Crystal system: trigonal
Calculated volume: 21.914 A^3/atom
Magnetization: 0.00 μB per atom

Geometry as POSCAR:
```
TcBr
1.0
1.5796 0.9120 10.1409
-1.5796 0.9120 10.1409
0.0000 -1.8240 10.1409
Tc Br
2 2
Direct
0.0365 0.0365 0.0365 Tc
0.9635 0.9635 0.9635 Tc
0.4338 0.4338 0.4338 Br
0.5662 0.5662 0.5662 Br
```



No. 9
# KTl2Hg2Au

A geometry-optimized KTl2Hg2Au structure (PBE, Alexandria via LeMat-Bulk).

Calculated values
Energy of formation from the pure elements: 0.04 eV/atom
N(E_F): 3.2 states/eV/f.u.
DFT total energy: -1.58 eV/atom
Crystal system: tetragonal
Calculated volume: 38.137 A^3/atom
Magnetization: 0.00 μB per atom

Geometry as POSCAR:
```
KTl2Hg2Au
1.0
-3.0009 3.0009 6.3523
3.0009 -3.0009 6.3523
3.0009 3.0009 -6.3523
K Tl Hg Au
1 2 2 1
Direct
0.0000 0.0000 0.0000 K
0.2500 0.7500 0.5000 Tl
0.7500 0.2500 0.5000 Tl
0.2829 0.2829 0.0000 Hg
0.7171 0.7171 0.0000 Hg
0.5000 0.5000 0.0000 Au
```



No. 10
# La5TbPb5

A geometry-optimized La5TbPb5 structure (PBE, Alexandria via LeMat-Bulk).

Calculated values
Energy of formation from the pure elements: -0.37 eV/atom
N(E_F): 12.0 states/eV/f.u.
DFT total energy: -4.72 eV/atom
Crystal system: monoclinic
Calculated volume: 37.771 A^3/atom
Magnetization: 0.03 μB per atom

Geometry as POSCAR:
```
La5TbPb5
1.0
7.5241 -3.2669 0.0000
7.5241 3.2669 0.0000
-2.6739 0.0000 8.4514
La Tb Pb
5 1 5
Direct
0.0000 0.0000 0.0000 La
0.3285 0.3285 0.1689 La
0.3343 0.3343 0.6701 La
0.6657 0.6657 0.3299 La
0.6715 0.6715 0.8311 La
0.0000 0.0000 0.5000 Tb
0.1614 0.1614 0.3379 Pb
0.1618 0.1618 0.8297 Pb
0.5000 0.5000 0.5000 Pb
0.8382 0.8382 0.1703 Pb
0.8386 0.8386 0.6621 Pb
```



No. 11
# MgBPt2C

A geometry-optimized MgBPt2C structure (PBE, Alexandria via LeMat-Bulk).

Calculated values
Energy of formation from the pure elements: 2.36 eV/atom
N(E_F): 4.3 states/eV/f.u.
DFT total energy: -3.56 eV/atom
Crystal system: tetragonal
Calculated volume: 16.991 A^3/atom
Magnetization: 0.00 μB per atom

Geometry as POSCAR:
```
MgBPt2C
1.0
4.6958 0.0000 0.0000
0.0000 4.6958 0.0000
0.0000 0.0000 3.8526
Mg B Pt C
1 1 2 1
Direct
0.0000 0.0000 0.0000 Mg
0.5000 0.5000 0.5000 B
0.0000 0.5000 0.0000 Pt
0.5000 0.0000 0.0000 Pt
0.0000 0.0000 0.5000 C
```



No. 12
# In2WBr

A geometry-optimized In2WBr structure (PBE, Alexandria via LeMat-Bulk).

Calculated values
Uncorrected formation energy: 1.085 eV/atom
N(E_F): 4.1 states/eV/f.u.
DFT total energy: -3.94 eV/atom
Crystal system: cubic
Calculated volume: 23.228 A^3/atom
Magnetization: 0.29 μB per atom

Geometry as POSCAR:
```
In2WBr
1.0
0.0000 3.5949 3.5949
3.5949 0.0000 3.5949
3.5949 3.5949 0.0000
In W Br
2 1 1
Direct
0.2500 0.2500 0.2500 In
0.7500 0.7500 0.7500 In
0.0000 0.0000 0.0000 W
0.5000 0.5000 0.5000 Br
```



> Which of these has the highest calculated volume?

Cs12Au6Se